Entry 1:
SrLi2Tl at its PBEsol-relaxed geometry. Source: Alexandria, functional meta-GGA SCAN.

The structure in extended XYZ format:
```
8
Lattice="4.8913 0.0000 0.0000 0.0000 4.8913 0.0000 0.0000 0.0000 8.8547" Properties=species:S:1:pos:R:3 pbc="T T T"
Sr 0.0000 0.0000 0.0000
Sr 2.4457 2.4457 4.4274
Li 0.0000 0.0000 4.4274
Li 0.0000 2.4457 6.6411
Li 2.4457 0.0000 2.2137
Li 2.4457 2.4457 0.0000
Tl 0.0000 2.4457 2.2137
Tl 2.4457 0.0000 6.6411
```

Energy of formation from the pure elements in kJ/mol of atoms: -26
DFT total energy in eV/atom: -25.119
Total magnetization in Bohr magnetons per cell: 0.00



Entry 2:
GeTeS2N at its PBEsol-relaxed geometry. Source: Alexandria, functional meta-GGA SCAN.

The structure in extended XYZ format:
```
5
Lattice="4.8972 0.0000 0.0000 0.0000 4.8972 0.0000 0.0000 0.0000 3.5492" Properties=species:S:1:pos:R:3 pbc="T T T"
Ge 0.0000 0.0000 0.0000
Te 2.4486 2.4486 1.7746
S 0.0000 2.4486 0.0000
S 2.4486 0.0000 0.0000
N 0.0000 0.0000 1.7746
```

DFT total energy in eV/atom: -16.290
Total magnetization in Bohr magnetons per cell: 0.01
Formation energy from raw total energies in meV per atom: 687



Entry 3:
SO2F2 at its PBEsol-relaxed geometry. Source: Alexandria, functional meta-GGA SCAN.

The structure in extended XYZ format:
```
20
Lattice="5.3064 0.0000 0.0000 0.0000 5.3064 0.0000 0.0000 0.0000 11.4660" Properties=species:S:1:pos:R:3 pbc="T T T"
S 0.4413 0.4413 0.0000
S 2.2119 3.0945 2.8665
S 3.0945 2.2119 8.5995
S 4.8651 4.8651 5.7330
O 0.0983 1.7097 10.9451
O 0.9435 2.7515 2.3456
O 1.7097 0.0983 0.5209
O 2.5549 4.3629 3.3874
O 2.7515 0.9435 9.1204
O 3.5967 5.2081 6.2539
O 4.3629 2.5549 8.0786
O 5.2081 3.5967 5.2121
F 0.0405 4.6700 10.4141
F 0.6364 5.2658 6.7850
F 2.0168 2.6127 7.5475
F 2.6127 2.0168 3.9185
F 2.6937 3.2896 9.6515
F 3.2896 2.6937 1.8145
F 4.6700 0.0405 1.0520
F 5.2658 0.6364 4.6810
```

DFT total energy in eV/atom: -7.501
Total magnetization in Bohr magnetons per cell: 0.28
Formation energy from raw total energies in meV per atom: -1667



Entry 4:
NaSm2Se3 at its PBEsol-relaxed geometry. Source: Alexandria, functional meta-GGA SCAN.

The structure in extended XYZ format:
```
12
Lattice="4.1042 0.0000 0.0000 0.0000 5.8169 0.0000 0.0000 0.0000 12.5022" Properties=species:S:1:pos:R:3 pbc="T T T"
Na 0.0000 0.0000 0.0000
Na 2.0521 2.9085 6.2511
Sm 0.0000 0.0000 4.2013
Sm 0.0000 0.0000 8.3008
Sm 2.0521 2.9085 2.0497
Sm 2.0521 2.9085 10.4524
Se 0.0000 2.9085 0.0000
Se 0.0000 2.9085 4.1397
Se 0.0000 2.9085 8.3625
Se 2.0521 0.0000 2.1114
Se 2.0521 0.0000 6.2511
Se 2.0521 0.0000 10.3908
```

DFT total energy in eV/atom: -27.520
Total magnetization in Bohr magnetons per cell: 0.00
Formation energy from raw total energies in meV per atom: -1964



Entry 5:
ZnSi2Mo at its PBEsol-relaxed geometry. Source: Alexandria, functional meta-GGA SCAN.

The structure in extended XYZ format:
```
4
Lattice="3.3246 0.0000 0.0000 0.0000 3.3246 0.0000 0.0000 0.0000 5.0030" Properties=species:S:1:pos:R:3 pbc="T T T"
Zn 0.0000 0.0000 0.0000
Si 0.0000 0.0000 2.5106
Si 1.6623 1.6623 3.8958
Mo 1.6623 1.6623 1.4470
```

DFT total energy in eV/atom: -17.168
Total magnetization in Bohr magnetons per cell: 0.00
Formation energy from raw total energies in meV per atom: -60



Entry 6:
TePt at its PBEsol-relaxed geometry. Source: Alexandria, functional meta-GGA SCAN.

The structure in extended XYZ format:
```
8
Lattice="5.3261 0.0000 0.0000 0.0000 7.4566 0.0000 0.0000 0.0000 4.3609" Properties=species:S:1:pos:R:3 pbc="T T T"
Te 0.0000 1.4371 1.0902
Te 0.0000 6.0195 3.2706
Te 2.6631 2.2912 3.2706
Te 2.6631 5.1654 1.0902
Pt 0.0000 2.9104 3.2706
Pt 0.0000 4.5463 1.0902
Pt 2.6631 0.8179 1.0902
Pt 2.6631 6.6387 3.2706
```

DFT total energy in eV/atom: -54.108
Total magnetization in Bohr magnetons per cell: 0.00
Formation energy from raw total energies in meV per atom: -386